1.
Tl2CoGe | GGA-PBE | optimized geometry

Cell: 4.9807 4.9807 4.9807 Å, 60.00 60.00 60.00°
Element x y z (fractional)
Tl 0.0000 0.0000 0.0000
Tl 0.2500 0.2500 0.2500
Co 0.7500 0.7500 0.7500
Ge 0.5000 0.5000 0.5000

Results
Total moment = 0.004 μB per formula unit
Space-group type = F-43m (216)
Calculated total energy = -3.41 eV per atom



2.
TlCo3Ge5 | GGA-PBE | optimized geometry

Cell: 4.9033 4.9033 7.5999 Å, 90.00 90.00 120.00°
Element x y z (fractional)
Tl 0.0000 0.0000 0.0000
Co 0.0000 0.5000 0.5000
Co 0.5000 0.0000 0.5000
Co 0.5000 0.5000 0.5000
Ge 0.0000 0.0000 0.5000
Ge 0.3333 0.6667 0.2374
Ge 0.3333 0.6667 0.7626
Ge 0.6667 0.3333 0.2374
Ge 0.6667 0.3333 0.7626

Results
Total moment = 0.009 μB per formula unit
Space-group type = P6/mmm (191)
Calculated total energy = -5.21 eV per atom



3.
Tm4TlCo2Ge4 | GGA-PBE | optimized geometry

Cell: 7.9690 7.9690 6.9942 Å, 107.43 107.43 30.48°
Element x y z (fractional)
Tm 0.0911 0.0911 0.3913
Tm 0.1551 0.1551 0.9395
Tm 0.8449 0.8449 0.0605
Tm 0.9089 0.9089 0.6087
Tl 0.5000 0.5000 0.0000
Co 0.2796 0.2796 0.3704
Co 0.7204 0.7204 0.6296
Ge 0.2942 0.2942 0.7310
Ge 0.4310 0.4310 0.3419
Ge 0.5690 0.5690 0.6581
Ge 0.7058 0.7058 0.2690

Results
Total moment = 1.650 μB per formula unit
Space-group type = C2/m (12)
Calculated total energy = -5.48 eV per atom



4.
Tm2Co3Ge5 | GGA-PBE | optimized geometry

Cell: 8.0846 8.0846 8.0846 Å, 106.66 87.90 138.58°
Element x y z (fractional)
Tm 0.1405 0.2312 0.3716
Tm 0.3595 0.7312 0.0907
Tm 0.6405 0.2688 0.9093
Tm 0.8595 0.7688 0.6284
Co 0.1416 0.8968 0.0384
Co 0.2500 0.7500 0.5000
Co 0.3584 0.3968 0.7552
Co 0.6416 0.6032 0.2448
Co 0.7500 0.2500 0.5000
Co 0.8584 0.1032 0.9616
Ge 0.0286 0.7500 0.2786
Ge 0.0908 0.6686 0.7594
Ge 0.2500 0.2500 0.0000
Ge 0.4092 0.1686 0.5778
Ge 0.4714 0.7500 0.7214
Ge 0.5286 0.2500 0.2786
Ge 0.5908 0.8314 0.4222
Ge 0.7500 0.7500 0.0000
Ge 0.9092 0.3314 0.2406
Ge 0.9714 0.2500 0.7214

Results
Total moment = 0.518 μB per formula unit
Space-group type = Ibam (72)
Calculated total energy = -5.90 eV per atom



5.
Tm2CoGe2 | GGA-PBE | optimized geometry

Cell: 5.5394 5.5394 10.0663 Å, 115.19 115.19 44.09°
Element x y z (fractional)
Tm 0.0052 0.0052 0.3326
Tm 0.1881 0.1881 0.1159
Tm 0.8119 0.8119 0.8841
Tm 0.9948 0.9948 0.6674
Co 0.2751 0.2751 0.6554
Co 0.7249 0.7249 0.3446
Ge 0.3442 0.3442 0.4389
Ge 0.4830 0.4830 0.1218
Ge 0.5170 0.5170 0.8782
Ge 0.6558 0.6558 0.5611

Results
Total moment = 0.003 μB per formula unit
Space-group type = C2/m (12)
Calculated total energy = -5.82 eV per atom



6.
TmCo6Ge6 | GGA-PBE | optimized geometry

Cell: 5.0741 5.0741 7.8194 Å, 90.00 90.00 120.00°
Element x y z (fractional)
Tm 0.0000 0.0000 0.0000
Co 0.0000 0.5000 0.2499
Co 0.0000 0.5000 0.7501
Co 0.5000 0.0000 0.2499
Co 0.5000 0.0000 0.7501
Co 0.5000 0.5000 0.2499
Co 0.5000 0.5000 0.7501
Ge 0.0000 0.0000 0.3438
Ge 0.0000 0.0000 0.6562
Ge 0.3333 0.6667 0.0000
Ge 0.3333 0.6667 0.5000
Ge 0.6667 0.3333 0.0000
Ge 0.6667 0.3333 0.5000

Results
Total moment = 0.003 μB per formula unit
Space-group type = P6/mmm (191)
Calculated total energy = -6.11 eV per atom



7.
TmCoGe | GGA-PBE | optimized geometry

Cell: 4.4994 4.4994 4.4994 Å, 60.00 60.00 60.00°
Element x y z (fractional)
Tm 0.0000 0.0000 0.0000
Co 0.7500 0.7500 0.7500
Ge 0.2500 0.2500 0.2500

Results
Total moment = 1.126 μB per formula unit
Space-group type = F-43m (216)
Calculated total energy = -5.01 eV per atom



8.
TmCoGe | GGA-PBE | optimized geometry

Cell: 6.7800 4.1888 7.1577 Å, 90.00 90.00 90.00°
Element x y z (fractional)
Tm 0.0084 0.2500 0.1982
Tm 0.4916 0.7500 0.6982
Tm 0.5084 0.2500 0.3018
Tm 0.9916 0.7500 0.8018
Co 0.1564 0.7500 0.4332
Co 0.3436 0.2500 0.9332
Co 0.6564 0.7500 0.0668
Co 0.8436 0.2500 0.5668
Ge 0.2044 0.2500 0.6019
Ge 0.2956 0.7500 0.1019
Ge 0.7044 0.2500 0.8981
Ge 0.7956 0.7500 0.3981

Results
Total moment = 0.003 μB per formula unit
Space-group type = Pnma (62)
Calculated total energy = -6.09 eV per atom



9.
TmCoGe2 | GGA-PBE | optimized geometry

Cell: 8.5125 8.5125 4.1337 Å, 90.00 90.00 152.21°
Element x y z (fractional)
Tm 0.1093 0.8907 0.7500
Tm 0.8907 0.1093 0.2500
Co 0.3203 0.6797 0.7500
Co 0.6797 0.3203 0.2500
Ge 0.2509 0.7491 0.2500
Ge 0.4561 0.5439 0.7500
Ge 0.5439 0.4561 0.2500
Ge 0.7491 0.2509 0.7500

Results
Total moment = 0.004 μB per formula unit
Space-group type = Cmcm (63)
Calculated total energy = -5.80 eV per atom



10.
TmCoGe | GGA-PBE | optimized geometry

Cell: 4.2951 4.2951 4.2951 Å, 60.00 60.00 60.00°
Element x y z (fractional)
Tm 0.0000 0.0000 0.0000
Co 0.7500 0.7500 0.7500
Ge 0.5000 0.5000 0.5000

Results
Total moment = 0.707 μB per formula unit
Space-group type = F-43m (216)
Calculated total energy = -5.78 eV per atom



11.
Tm4Co7Ge6 | GGA-PBE | optimized geometry

Cell: 6.9737 6.9737 6.9737 Å, 109.47 109.47 109.47°
Element x y z (fractional)
Tm 0.0000 0.0000 0.5000
Tm 0.0000 0.5000 0.0000
Tm 0.5000 0.0000 0.0000
Tm 0.5000 0.5000 0.5000
Co 0.0000 0.0000 0.0000
Co 0.2500 0.5000 0.7500
Co 0.2500 0.7500 0.5000
Co 0.5000 0.2500 0.7500
Co 0.5000 0.7500 0.2500
Co 0.7500 0.2500 0.5000
Co 0.7500 0.5000 0.2500
Ge 0.0000 0.3248 0.3248
Ge 0.0000 0.6752 0.6752
Ge 0.3248 0.0000 0.3248
Ge 0.3248 0.3248 0.0000
Ge 0.6752 0.0000 0.6752
Ge 0.6752 0.6752 0.0000

Results
Total moment = 0.183 μB per formula unit
Space-group type = Im-3m (229)
Calculated total energy = -6.19 eV per atom



12.
UCo6Ge6 | GGA-PBE | optimized geometry

Cell: 5.1000 5.1000 7.8800 Å, 90.00 90.00 120.00°
Element x y z (fractional)
U 0.0000 0.0000 0.0000
Co 0.0000 0.5000 0.2510
Co 0.0000 0.5000 0.7490
Co 0.5000 0.0000 0.2510
Co 0.5000 0.0000 0.7490
Co 0.5000 0.5000 0.2510
Co 0.5000 0.5000 0.7490
Ge 0.0000 0.0000 0.3461
Ge 0.0000 0.0000 0.6539
Ge 0.3333 0.6667 0.0000
Ge 0.3333 0.6667 0.5000
Ge 0.6667 0.3333 0.0000
Ge 0.6667 0.3333 0.5000

Results
Total moment = 0.023 μB per formula unit
Space-group type = P6/mmm (191)
Calculated total energy = -6.49 eV per atom



13.
UCo2Ge2 | GGA-PBE | optimized geometry

Cell: 5.6700 5.6700 5.6700 Å, 138.51 138.51 60.12°
Element x y z (fractional)
U 0.0000 0.0000 0.0000
Co 0.2500 0.7500 0.5000
Co 0.7500 0.2500 0.5000
Ge 0.3718 0.3718 0.0000
Ge 0.6282 0.6282 0.0000

Results
Total moment = 3.800 μB per formula unit
Space-group type = I4/mmm (139)
Calculated total energy = -7.25 eV per atom



14.
UCo2Ge2 | GGA-PBE | optimized geometry

Cell: 4.0543 4.0543 9.4056 Å, 90.00 90.00 90.00°
Element x y z (fractional)
U 0.2500 0.2500 0.2435
U 0.7500 0.7500 0.7565
Co 0.2500 0.2500 0.6277
Co 0.2500 0.7500 0.0000
Co 0.7500 0.2500 0.0000
Co 0.7500 0.7500 0.3723
Ge 0.2500 0.2500 0.8690
Ge 0.2500 0.7500 0.5000
Ge 0.7500 0.2500 0.5000
Ge 0.7500 0.7500 0.1310

Results
Total moment = 0.271 μB per formula unit
Space-group type = P4/nmm (129)
Calculated total energy = -7.29 eV per atom



15.
UCoGe | GGA-PBE | optimized geometry

Cell: 4.7282 4.7282 5.7821 Å, 90.00 90.00 120.00°
Element x y z (fractional)
U 0.3333 0.6667 0.2500
U 0.6667 0.3333 0.7500
Co 0.0000 0.0000 0.0000
Co 0.0000 0.0000 0.5000
Ge 0.3333 0.6667 0.7500
Ge 0.6667 0.3333 0.2500

Results
Total moment = 1.398 μB per formula unit
Space-group type = P6_3/mmc (194)
Calculated total energy = -7.32 eV per atom



16.
UCoGe | GGA-PBE | optimized geometry

Cell: 4.1734 4.1734 6.9352 Å, 90.00 90.00 120.00°
Element x y z (fractional)
U 0.0000 0.0000 0.0000
U 0.0000 0.0000 0.5000
Co 0.3333 0.6667 0.2500
Co 0.6667 0.3333 0.7500
Ge 0.3333 0.6667 0.7500
Ge 0.6667 0.3333 0.2500

Results
Total moment = 1.001 μB per formula unit
Space-group type = P6_3/mmc (194)
Calculated total energy = -8.00 eV per atom



17.
U3Co2Ge7 | GGA-PBE | optimized geometry

Cell: 12.6504 12.6504 4.1647 Å, 90.00 90.00 161.16°
Element x y z (fractional)
U 0.0000 0.0000 0.0000
U 0.3146 0.6854 0.5000
U 0.6854 0.3146 0.5000
Co 0.1284 0.8716 0.0000
Co 0.8716 0.1284 0.0000
Ge 0.0879 0.9121 0.5000
Ge 0.2204 0.7796 0.0000
Ge 0.4127 0.5873 0.0000
Ge 0.5000 0.5000 0.5000
Ge 0.5873 0.4127 0.0000
Ge 0.7796 0.2204 0.0000
Ge 0.9121 0.0879 0.5000

Results
Total moment = 5.875 μB per formula unit
Space-group type = Cmmm (65)
Calculated total energy = -7.02 eV per atom



18.
U3Co2Ge7 | GGA-PBE | optimized geometry

Cell: 12.6621 12.6621 4.1671 Å, 90.00 90.00 161.18°
Element x y z (fractional)
U 0.0000 0.0000 0.0000
U 0.3141 0.6859 0.5000
U 0.6859 0.3141 0.5000
Co 0.1283 0.8717 0.0000
Co 0.8717 0.1283 0.0000
Ge 0.0881 0.9119 0.5000
Ge 0.2204 0.7796 0.0000
Ge 0.4124 0.5876 0.0000
Ge 0.5000 0.5000 0.5000
Ge 0.5876 0.4124 0.0000
Ge 0.7796 0.2204 0.0000
Ge 0.9119 0.0881 0.5000

Results
Total moment = 5.915 μB per formula unit
Space-group type = Cmmm (65)
Calculated total energy = -7.02 eV per atom



19.
U2Co3Ge | GGA-PBE | optimized geometry

Cell: 5.1688 5.1688 7.5976 Å, 90.00 90.00 120.00°
Element x y z (fractional)
U 0.3333 0.6667 0.0704
U 0.3333 0.6667 0.4296
U 0.6667 0.3333 0.5704
U 0.6667 0.3333 0.9296
Co 0.1702 0.3404 0.7500
Co 0.1702 0.8298 0.7500
Co 0.3404 0.1702 0.2500
Co 0.6596 0.8298 0.7500
Co 0.8298 0.1702 0.2500
Co 0.8298 0.6596 0.2500
Ge 0.0000 0.0000 0.0000
Ge 0.0000 0.0000 0.5000

Results
Total moment = 1.360 μB per formula unit
Space-group type = P6_3/mmc (194)
Calculated total energy = -8.45 eV per atom



20.
UCoGe | GGA-PBE | optimized geometry

Cell: 6.6957 4.2939 7.0611 Å, 90.00 90.00 90.00°
Element x y z (fractional)
U 0.0191 0.2500 0.2013
U 0.4809 0.7500 0.7013
U 0.5191 0.2500 0.2987
U 0.9809 0.7500 0.7987
Co 0.2165 0.7500 0.4308
Co 0.2835 0.2500 0.9308
Co 0.7165 0.7500 0.0692
Co 0.7835 0.2500 0.5692
Ge 0.1869 0.2500 0.5927
Ge 0.3131 0.7500 0.0927
Ge 0.6869 0.2500 0.9073
Ge 0.8131 0.7500 0.4073

Results
Total moment = 1.042 μB per formula unit
Space-group type = Pnma (62)
Calculated total energy = -8.04 eV per atom



21.
U3Co4Ge7 | GGA-PBE | optimized geometry

Cell: 13.9257 13.9257 13.9257 Å, 162.94 162.94 24.22°
Element x y z (fractional)
U 0.0000 0.0000 0.0000
U 0.3269 0.3269 0.0000
U 0.6731 0.6731 0.0000
Co 0.1175 0.1175 0.0000
Co 0.2500 0.7500 0.5000
Co 0.7500 0.2500 0.5000
Co 0.8825 0.8825 0.0000
Ge 0.0807 0.5807 0.5000
Ge 0.2029 0.2029 0.0000
Ge 0.4193 0.9193 0.5000
Ge 0.5000 0.5000 0.0000
Ge 0.5807 0.0807 0.5000
Ge 0.7971 0.7971 0.0000
Ge 0.9193 0.4193 0.5000

Results
Total moment = 0.686 μB per formula unit
Space-group type = I4/mmm (139)
Calculated total energy = -7.12 eV per atom



22.
CoGeW | GGA-PBE | optimized geometry

Cell: 3.9916 3.9916 3.9916 Å, 60.00 60.00 60.00°
Element x y z (fractional)
Co 0.0000 0.0000 0.0000
Ge 0.7500 0.7500 0.7500
W 0.2500 0.2500 0.2500

Results
Total moment = 0.550 μB per formula unit
Space-group type = F-43m (216)
Calculated total energy = -8.13 eV per atom



23.
CoGeW | GGA-PBE | optimized geometry

Cell: 4.1229 4.1229 4.1229 Å, 60.00 60.00 60.00°
Element x y z (fractional)
Co 0.0000 0.0000 0.0000
Ge 0.5000 0.5000 0.5000
W 0.2500 0.2500 0.2500

Results
Total moment = 0.015 μB per formula unit
Space-group type = F-43m (216)
Calculated total energy = -7.66 eV per atom